# MnBeAlO4 | Alexandria via LeMat-Bulk | PBE+U | relaxed
data_MnBeAlO4
_chemical_formula_sum 'Mn4 Be4 Al4 O16'
_cell_length_a 5.447
_cell_length_b 8.107
_cell_length_c 5.762
_cell_angle_alpha 90.00
_cell_angle_beta 90.00
_cell_angle_gamma 90.00
_symmetry_space_group_name_H-M 'C m c m'
_symmetry_Int_Tables_number 63
_symmetry_space_group_name_Hall '-C 2c 2'
loop_
_atom_site_label
_atom_site_type_symbol
_atom_site_fract_x
_atom_site_fract_y
_atom_site_fract_z
Mn1 Mn 0.000 0.000 0.000
Be1 Be 0.000 0.343 0.250
Al1 Al 0.000 0.347 0.750
O1 O 0.000 0.240 0.015
O2 O 0.235 0.492 0.250
# **Electronic total energy**: -199.51 eV/cell